# 1
Computed, not measured: a relaxed KMn2Ru crystal at the GGA-PBE level of DFT.

```
KMn2Ru
1.0
-0.9942 -4.7333 1.5775
2.6384 2.0232 3.8506
-2.3932 0.8888 1.1827
K Ru Mn
1 1 2
Cartesian
0.1226 1.4560 2.5167
-1.6937 -1.9223 1.3801
0.0000 0.0000 0.0000
0.8221 -1.3551 2.7140
```

Energy above the lowest structure with this stoichiometry = 2.05 eV per formula unit
DOS at the Fermi energy = 1.104 states/eV/atom
Crystal system = monoclinic
SG = C2/m, No. 12
Formation energy = 1.12 eV per atom

---

# 2
Computed, not measured: a relaxed K2MnRu crystal at the GGA-PBE level of DFT.

```
K2MnRu
1.0
-2.2612 3.7940 3.5111
-3.7255 -1.1452 -1.1618
-0.0686 -2.7840 2.9641
Ru K Mn
1 2 1
Cartesian
-1.1649 0.5050 3.2376
-1.8971 -1.9646 0.9011
0.0000 0.0000 0.0000
-2.9934 1.3244 1.1746
```

Energy above the lowest structure with this stoichiometry = 2.31 eV per formula unit
DOS at the Fermi energy = 0.682 states/eV/atom
Crystal system = tetragonal
SG = P4/mmm, No. 123
Formation energy = 1.23 eV per atom

---

# 3
Computed, not measured: a relaxed KMnRu2 crystal at the GGA-PBE level of DFT.

```
KMnRu2
1.0
-1.3906 -0.9773 -2.2592
2.8007 -2.3317 -0.7153
-3.4391 -5.5116 4.5010
K Ru Mn
1 2 1
Cartesian
-1.6724 -2.6803 2.1889
0.1698 -2.5123 -0.7868
-0.0582 -0.0933 0.0762
-2.1877 -6.2905 2.2987
```

Energy above the lowest structure with this stoichiometry = 0.00 eV per formula unit
DOS at the Fermi energy = 0.573 states/eV/atom
Crystal system = orthorhombic
SG = Pmm2, No. 25
Formation energy = 0.64 eV per atom

---

# 4
Computed, not measured: a relaxed KMnRu4 crystal at the GGA-PBE level of DFT.

```
KMnRu4
1.0
0.0000 3.7282 3.7282
3.7282 0.0000 3.7282
3.7282 3.7282 0.0000
Ru Mn K
4 1 1
Cartesian
2.7921 4.6643 4.6643
4.6643 4.6643 2.7921
4.6643 2.7921 4.6643
2.7921 2.7921 2.7921
0.0000 0.0000 0.0000
5.5923 5.5923 5.5923
```

DOS at the Fermi energy = 1.122 states/eV/atom
Crystal system = cubic
SG = F-43m, No. 216
Formation energy = 0.91 eV per atom

---

Total magnetization
In order: 1.960, 1.191, 1.102, 0.164
Unit: μB per atom